Here is a relaxed Sr3CuGe3 crystal from the Alexandria database. Energies are from GGA-PBE.

Results
**Total magnetic moment**: 0.0 Bohr magnetons per cell
**Electronic total energy**: -3.81 eV/atom
**D(E_F)**: 0.355 states/eV per atom
**Energy of formation from the pure elements**: -51.0 kJ per mole of atoms

a = 11.5504 Å, b = 4.5564 Å, c = 15.1525 Å
α = 90.00°, β = 109.49°, γ = 90.00°
Space group C2/m (No. 12)
Asymmetric unit:
Sr1 0.0466 0.0000 0.2766 x4
Sr2 0.1722 0.0000 0.5786 x4
Sr3 0.1900 0.5000 0.1042 x4
Cu1 0.0857 0.5000 0.8720 x4
Ge1 0.0353 0.5000 0.4256 x4
Ge2 0.0554 0.0000 0.9413 x4
Ge3 0.1598 0.5000 0.7288 x4